[1]
Compound: CsLa3Cu
Source: the Alexandria database
Functional: PBE
Structure: relaxed

Results
The polymorph energy (0 for the lowest one) is 437 kJ/mol of formula units. Its total magnetization is 0.04 μB/f.u. The calculation puts the calculated formation energy at 1.25 eV per atom.

Cell and atoms, written as CIF:
```
data_CsLa3Cu
_chemical_formula_sum 'Cs1 La3 Cu1'
_symmetry_space_group_name_H-M 'P m -3 m'
_symmetry_Int_Tables_number 221
_symmetry_space_group_name_Hall '-P 4 2 3'
_cell_length_a 5.8755
_cell_length_b 5.8755
_cell_length_c 5.8755
_cell_angle_alpha 90.00
_cell_angle_beta 90.00
_cell_angle_gamma 90.00
loop_
_atom_site_label
_atom_site_type_symbol
_atom_site_fract_x
_atom_site_fract_y
_atom_site_fract_z
Cs1 Cs 0.0000 0.0000 0.0000
La1 La 0.0000 0.0000 0.5000
Cu1 Cu 0.5000 0.5000 0.5000
```

[2]
Compound: CsLa2Cu2
Source: the Alexandria database
Functional: PBE
Structure: relaxed

Results
The polymorph energy (0 for the lowest one) is 18 kJ/mol of formula units. Its total magnetization is 0.00 μB/f.u. The calculation puts the calculated formation energy at 0.24 eV per atom.

Cell and atoms, written as CIF:
```
data_CsLa2Cu2
_chemical_formula_sum 'Cs2 La4 Cu4'
_symmetry_space_group_name_H-M 'P 4/m b m'
_symmetry_Int_Tables_number 127
_symmetry_space_group_name_Hall '-P 4 2ab'
_cell_length_a 8.8868
_cell_length_b 8.8868
_cell_length_c 3.9007
_cell_angle_alpha 90.00
_cell_angle_beta 90.00
_cell_angle_gamma 90.00
loop_
_atom_site_label
_atom_site_type_symbol
_atom_site_fract_x
_atom_site_fract_y
_atom_site_fract_z
Cs1 Cs 0.0000 0.0000 0.0000
La1 La 0.1453 0.3547 0.5000
Cu1 Cu 0.1118 0.6118 0.0000
```

[3]
Compound: CsLa2CuNi
Source: the Alexandria database
Functional: PBE
Structure: relaxed

Results
Its total magnetization is 0.56 μB/f.u. The calculation puts the calculated formation energy at 1.52 eV per atom.

Cell and atoms, written as CIF:
```
data_CsLa2CuNi
_chemical_formula_sum 'Cs1 La2 Cu1 Ni1'
_symmetry_space_group_name_H-M 'P 4/m m m'
_symmetry_Int_Tables_number 123
_symmetry_space_group_name_Hall '-P 4 2'
_cell_length_a 5.8533
_cell_length_b 5.8533
_cell_length_c 4.8865
_cell_angle_alpha 90.00
_cell_angle_beta 90.00
_cell_angle_gamma 90.00
loop_
_atom_site_label
_atom_site_type_symbol
_atom_site_fract_x
_atom_site_fract_y
_atom_site_fract_z
Cs1 Cs 0.0000 0.0000 0.0000
La1 La 0.0000 0.5000 0.0000
Cu1 Cu 0.0000 0.0000 0.5000
Ni1 Ni 0.5000 0.5000 0.5000
```

[4]
Compound: CsLa2CuO4
Source: the Alexandria database
Functional: PBE
Structure: relaxed

Results
Its total magnetization is 0.00 μB/f.u. The value obtained for the raw formation energy is -19.14 eV/f.u.

Cell and atoms, written as CIF:
```
data_CsLa2CuO4
_chemical_formula_sum 'Cs4 La8 Cu4 O16'
_symmetry_space_group_name_H-M 'C m c m'
_symmetry_Int_Tables_number 63
_symmetry_space_group_name_Hall '-C 2c 2'
_cell_length_a 3.7351
_cell_length_b 12.6942
_cell_length_c 12.3062
_cell_angle_alpha 90.00
_cell_angle_beta 90.00
_cell_angle_gamma 90.00
loop_
_atom_site_label
_atom_site_type_symbol
_atom_site_fract_x
_atom_site_fract_y
_atom_site_fract_z
Cs1 Cs 0.0000 0.0984 0.2500
La1 La 0.0000 0.3672 0.0587
Cu1 Cu 0.0000 0.1785 0.7500
O1 O 0.0000 0.0000 0.0000
O2 O 0.0000 0.2479 0.5976
O3 O 0.0000 0.4046 0.2500
```

[5]
Compound: Cs2LaCuRu
Source: the Alexandria database
Functional: PBE
Structure: relaxed

Results
Its total magnetization is 0.00 μB/f.u. The calculation puts the calculated formation energy at 0.66 eV per atom.

Cell and atoms, written as CIF:
```
data_Cs2LaCuRu
_chemical_formula_sum 'Cs2 La1 Cu1 Ru1'
_symmetry_space_group_name_H-M 'P 4/m m m'
_symmetry_Int_Tables_number 123
_symmetry_space_group_name_Hall '-P 4 2'
_cell_length_a 6.9934
_cell_length_b 6.9934
_cell_length_c 4.9577
_cell_angle_alpha 90.00
_cell_angle_beta 90.00
_cell_angle_gamma 90.00
loop_
_atom_site_label
_atom_site_type_symbol
_atom_site_fract_x
_atom_site_fract_y
_atom_site_fract_z
Cs1 Cs 0.0000 0.5000 0.0000
La1 La 0.0000 0.0000 0.5000
Cu1 Cu 0.5000 0.5000 0.5000
Ru1 Ru 0.0000 0.0000 0.0000
```

[6]
Compound: CsLa2CuSe4
Source: the Alexandria database
Functional: PBE
Structure: relaxed

Results
Its total magnetization is 0.00 μB/f.u. The value obtained for the raw formation energy is -12.79 eV/f.u.

Cell and atoms, written as CIF:
```
data_CsLa2CuSe4
_chemical_formula_sum 'Cs4 La8 Cu4 Se16'
_symmetry_space_group_name_H-M 'C m c m'
_symmetry_Int_Tables_number 63
_symmetry_space_group_name_Hall '-C 2c 2'
_cell_length_a 4.3493
_cell_length_b 15.2211
_cell_length_c 14.8890
_cell_angle_alpha 90.00
_cell_angle_beta 90.00
_cell_angle_gamma 90.00
loop_
_atom_site_label
_atom_site_type_symbol
_atom_site_fract_x
_atom_site_fract_y
_atom_site_fract_z
Cs1 Cs 0.0000 0.1050 0.2500
La1 La 0.0000 0.3656 0.0605
Cu1 Cu 0.0000 0.1656 0.7500
Se1 Se 0.0000 0.0000 0.0000
Se2 Se 0.0000 0.2582 0.6116
Se3 Se 0.0000 0.4198 0.2500
```

Question: What is the total magnetization in the sixth record?
Answer: 0.00 μB/f.u.

Question: What is the total magnetization in the sixth record?
Answer: 0.00 μB/f.u.